Entry from the Alexandria database: a geometry-optimized UZnTcO6 structure (PBE).

For the uncorrected formation energy, the calculation gives -2.01 eV per atom. As for the space group: P-31c (163). The total energy comes out at -0.289 hartree per atom. The calculated volume comes out at 218.7 Å³/cell.

The structure in POSCAR format:
```
UZnTcO6
1.0
-4.428 2.628 1.135
1.662 -3.863 3.181
4.807 6.026 4.805
U Zn Tc O
2 2 2 12
Cartesian
-1.196 1.971 3.018 U
3.238 2.821 6.103 U
0.834 -0.193 3.700 Zn
1.207 4.984 5.421 Zn
0.000 0.000 0.000 Tc
2.404 3.013 2.403 Tc
-1.298 -0.070 3.532 O
-3.277 2.143 2.737 O
3.255 0.757 6.527 O
5.319 2.648 6.384 O
0.903 1.883 3.175 O
-1.475 2.255 5.087 O
2.858 3.212 8.138 O
-1.214 4.034 2.594 O
3.516 2.536 4.034 O
-0.817 1.579 0.983 O
1.139 2.909 5.946 O
3.339 4.861 5.589 O
```